No. 1
DFT (PBE) results for a geometry-optimized DyTh3Sc structure.

a b c (Å): 6.0601 6.1148 9.2460
angles (deg): 108.65 102.67 99.77
Space group P-1 (No. 2)
One atom of each set of equivalent atoms:
Dy 0.0459 0.1008 0.3495
Th 0.1573 0.3048 0.0515
Th 0.3557 0.6966 0.4500
Th 0.4493 0.8962 0.1459
Sc 0.2508 0.5008 0.7526

Summary:
Final energy, eV per cell: -65.97
Crystal system: triclinic
ρ, kg/m³: 9811
Energy of formation from the pure elements, eV/atom: 0.0416

No. 2
DFT (PBE) results for a geometry-optimized Dy2Th5Sc12 structure.

a b c (Å): 19.1387 6.3534 10.2154
angles (deg): 90.00 113.35 90.00
Space group C2/m (No. 12)
One atom of each set of equivalent atoms:
Dy 0.0000 0.2494 0.0000
Th 0.0000 0.5000 0.5000
Th 0.1146 0.0000 0.7890
Th 0.1440 0.0000 0.2795
Sc 0.0484 0.0000 0.4280
Sc 0.1305 0.5000 0.2980
Sc 0.1963 0.2472 0.5930
Sc 0.1996 0.2605 0.0812

Summary:
Final energy, eV per cell: -228.76
Crystal system: monoclinic
ρ, kg/m³: 5896
Energy of formation from the pure elements, eV/atom: 0.4158

No. 3
DFT (PBE) results for a geometry-optimized Dy6ThSc4 structure.

a b c (Å): 5.4923 9.4390 24.8574
angles (deg): 90.00 90.00 90.00
Space group Cmcm (No. 63)
One atom of each set of equivalent atoms:
Dy 0.0000 0.0000 0.0000
Dy 0.0000 0.0085 0.2500
Dy 0.0000 0.3274 0.5959
Dy 0.0000 0.3411 0.1790
Th 0.0000 0.3257 0.7500
Sc 0.0000 0.0077 0.1239
Sc 0.0000 0.3358 0.0425

Summary:
Final energy, eV per cell: -235.58
Crystal system: orthorhombic
ρ, kg/m³: 7148
Energy of formation from the pure elements, eV/atom: 0.1330

No. 4
DFT (PBE) results for a geometry-optimized DyTh5Sc6 structure.

a b c (Å): 5.5070 16.5350 7.4269
angles (deg): 90.00 90.00 90.00
Space group Cmmm (No. 65)
One atom of each set of equivalent atoms:
Dy 0.0000 0.0000 0.0000
Th 0.0000 0.0000 0.5000
Th 0.0000 0.3340 0.5000
Th 0.0000 0.3357 0.0000
Sc 0.0000 0.1689 0.2505
Sc 0.0000 0.5000 0.2598

Summary:
Final energy, eV per cell: -158.26
Crystal system: orthorhombic
ρ, kg/m³: 7820
Energy of formation from the pure elements, eV/atom: 0.0466

No. 5
DFT (PBE) results for a geometry-optimized Dy3Th3Sc5 structure.

a b c (Å): 6.2229 6.6375 8.3036
angles (deg): 106.80 97.23 100.24
Space group P1 (No. 1)
One atom of each set of equivalent atoms:
Dy 0.0000 0.0000 0.0000
Dy 0.1938 0.1749 0.5266
Dy 0.4602 0.9253 0.2143
Th 0.5308 0.1748 0.9115
Th 0.7390 0.3716 0.5186
Th 0.8835 0.6261 0.2393
Sc 0.0618 0.4603 0.8920
Sc 0.1954 0.7219 0.6254
Sc 0.3561 0.4502 0.2624
Sc 0.5655 0.6318 0.8590
Sc 0.7079 0.8814 0.5883

Summary:
Final energy, eV per cell: -66.58
Crystal system: triclinic
ρ, kg/m³: 7370
Energy of formation from the pure elements, eV/atom: 0.1039

No. 6
DFT (PBE) results for a geometry-optimized Dy2Th4Sc3 structure.

a b c (Å): 15.7018 11.4463 5.9662
angles (deg): 90.00 97.90 90.00
Space group C2/c (No. 15)
One atom of each set of equivalent atoms:
Dy 0.2220 0.1330 0.3463
Th 0.0546 0.3680 0.5186
Th 0.1101 0.1317 0.8098
Sc 0.0000 0.1139 0.2500
Sc 0.1648 0.3850 0.0788

Summary:
Final energy, eV per cell: -227.05
Crystal system: monoclinic
ρ, kg/m³: 8680
Energy of formation from the pure elements, eV/atom: 0.1238

Which value of energy of formation from the pure elements does entry 2 give?
0.4158 eV/atom